# 1
VASP calculation (PBE-GGA) on crystalline AlZnCl2F at its relaxed geometry.

a = 5.0473 Å, b = 5.0473 Å, c = 3.9544 Å
α = 90.00°, β = 90.00°, γ = 90.00°
Fractional coordinates of all 5 atoms:
1 Al 0.0000 0.0000 0.0000
2 Zn 0.5000 0.5000 0.5000
3 Cl 0.0000 0.5000 0.5000
4 Cl 0.5000 0.0000 0.5000
5 F 0.5000 0.5000 0.0000

Summary:
density of states at the Fermi level	0.0	states/eV/cell
raw formation energy	-511	kJ/mol of formula units
SG	No. 123

# 2
VASP calculation (PBE-GGA) on crystalline AlFe2Cl at its relaxed geometry.

a = 2.8424 Å, b = 4.2786 Å, c = 4.7716 Å
α = 90.00°, β = 90.09°, γ = 90.00°
Fractional coordinates of all 4 atoms:
1 Al 0.0000 0.0000 0.0000
2 Fe 0.4998 0.0000 0.4537
3 Fe 0.5007 0.5000 0.1441
4 Cl 0.5008 0.5000 0.6372

Summary:
density of states at the Fermi level	2.7	states/eV/cell
raw formation energy	87	kJ/mol of formula units
SG	No. 6
distance to the lowest polymorph of the same formula	222	meV/atom